Record 1
A relaxed structure of TiRe. Source: Alexandria via LeMat-Bulk, functional GGA-PBEsol.

Cell lengths 3.0813, 3.0813, 3.0813 Å; angles 90.00, 90.00, 90.00 degrees
Atoms (fractional coordinates):
Re: 0.5000 0.5000 0.5000
Ti: 0.0000 0.0000 0.0000

formation energy = -400 meV per atom


Record 2
A relaxed structure of Ti3TlRe. Source: Alexandria via LeMat-Bulk, functional GGA-PBEsol.

Cell lengths 4.7243, 4.7243, 4.7243 Å; angles 90.00, 90.00, 90.00 degrees
Each line ends with the local moment (μB).
Atoms (fractional coordinates):
Re: 0.0000 0.0000 0.0000  -0.06
Tl: 0.5000 0.5000 0.5000  0.00
Ti: 0.0000 0.5000 0.0000  0.32
Ti: 0.0000 0.0000 0.5000  0.32
Ti: 0.5000 0.0000 0.0000  0.32

formation energy = 582 meV per atom


Record 3
A relaxed structure of TiVRe2. Source: Alexandria via LeMat-Bulk, functional GGA-PBEsol.

Cell lengths 4.3041, 4.3041, 4.3041 Å; angles 60.00, 60.00, 60.00 degrees
Atoms (fractional coordinates):
Re: 0.2500 0.2500 0.2500
Re: 0.7500 0.7500 0.7500
V: 0.0000 0.0000 0.0000
Ti: 0.5000 0.5000 0.5000

formation energy = -404 meV per atom


Record 4
A relaxed structure of TiRe2W. Source: Alexandria via LeMat-Bulk, functional GGA-PBEsol.

Cell lengths 4.3826, 4.3826, 4.3826 Å; angles 60.00, 60.00, 60.00 degrees
Atoms (fractional coordinates):
Re: 0.2500 0.2500 0.2500
Re: 0.7500 0.7500 0.7500
W: 0.0000 0.0000 0.0000
Ti: 0.5000 0.5000 0.5000

formation energy = -344 meV per atom


Record 5
A relaxed structure of ZrTi2Re. Source: Alexandria via LeMat-Bulk, functional GGA-PBEsol.

Cell lengths 4.5274, 4.5274, 4.5274 Å; angles 60.00, 60.00, 60.00 degrees
Atoms (fractional coordinates):
Re: 0.5000 0.5000 0.5000
Zr: 0.0000 0.0000 0.0000
Ti: 0.2500 0.2500 0.2500
Ti: 0.7500 0.7500 0.7500

formation energy = -92 meV per atom


Record 6
A relaxed structure of TlRe3. Source: Alexandria via LeMat-Bulk, functional GGA-PBEsol.

Cell lengths 2.8662, 2.8662, 9.0832 Å; angles 90.00, 90.00, 120.00 degrees
Atoms (fractional coordinates):
Re: 0.0000 0.0000 0.2307
Re: 0.0000 0.0000 0.7693
Re: 0.3333 0.6667 0.0000
Tl: 0.3333 0.6667 0.5000

formation energy = 485 meV per atom


Record 7
A relaxed structure of TlRe. Source: Alexandria via LeMat-Bulk, functional GGA-PBEsol.

Cell lengths 4.3442, 4.3442, 4.3442 Å; angles 60.00, 60.00, 60.00 degrees
Each line ends with the local moment (μB).
Atoms (fractional coordinates):
Re: 0.0000 0.0000 0.0000  2.05
Tl: 0.2500 0.2500 0.2500  -0.02

formation energy = 2779 meV per atom


Record 8
A relaxed structure of TlRe. Source: Alexandria via LeMat-Bulk, functional GGA-PBEsol.

Cell lengths 3.0072, 3.0072, 4.8577 Å; angles 71.97, 71.97, 60.00 degrees
Atoms (fractional coordinates):
Re: 0.0000 0.0000 0.0000
Tl: 0.5000 0.5000 0.5000

formation energy = 1142 meV per atom


Record 9
A relaxed structure of TlRe3. Source: Alexandria via LeMat-Bulk, functional GGA-PBEsol.

Cell lengths 2.7662, 5.2670, 5.2670 Å; angles 117.00, 100.08, 100.08 degrees
Atoms (fractional coordinates):
Re: 0.5000 0.5000 0.5000
Re: 0.0000 0.5000 0.0000
Re: 0.0000 0.0000 0.5000
Tl: 0.5000 0.0000 0.0000

formation energy = 1035 meV per atom


Record 10
A relaxed structure of TlRe3. Source: Alexandria via LeMat-Bulk, functional GGA-PBEsol.

Cell lengths 2.9186, 4.7451, 5.4027 Å; angles 116.05, 105.67, 90.00 degrees
Atoms (fractional coordinates):
Re: 0.2319 0.2535 0.4638
Re: 0.7681 0.7898 0.5362
Re: 0.5000 0.1504 0.0000
Tl: 0.0000 0.6396 0.0000

formation energy = 760 meV per atom


Record 11
A relaxed structure of TlRe. Source: Alexandria via LeMat-Bulk, functional GGA-PBEsol.

Cell lengths 2.9453, 2.9453, 10.2082 Å; angles 81.71, 81.71, 60.00 degrees
Atoms (fractional coordinates):
Re: 0.1341 0.1341 0.5978
Re: 0.8659 0.8659 0.4022
Tl: 0.6167 0.6167 0.1500
Tl: 0.3833 0.3833 0.8500

formation energy = 590 meV per atom


Record 12
A relaxed structure of TlReW2. Source: Alexandria via LeMat-Bulk, functional GGA-PBEsol.

Cell lengths 3.9839, 3.9839, 4.1306 Å; angles 90.00, 90.00, 90.00 degrees
Atoms (fractional coordinates):
Re: 0.5000 0.5000 0.5000
Tl: 0.0000 0.0000 0.5000
W: 0.0000 0.5000 0.0000
W: 0.5000 0.0000 0.0000

formation energy = 842 meV per atom